(1)
! K3Te | Alexandria via LeMat-Bulk | PBE | relaxed; values from VASP
! ΔE_f (raw): -0.605 eV per atom
! E above lowest polymorph: 38.6 meV per atom
&SYSTEM
  ibrav = 0, nat = 4, ntyp = 2
/
ATOMIC_SPECIES
Te 127.60 Te.upf
K 39.10 K.upf
CELL_PARAMETERS angstrom
-5.8479 7.6288 2.9555
-9.1804 4.0759 0.4897
-7.6501 3.2443 5.6642
ATOMIC_POSITIONS crystal
Te 0.0000 0.0000 0.0000
K 0.5000 0.5000 0.5000
K 0.7128 0.7128 0.7128
K 0.2872 0.2872 0.2872

(2)
! KNa2CdGa | Alexandria via LeMat-Bulk | PBE | relaxed; values from VASP
! Energy of formation: 0.0625 eV per atom
! E above lowest polymorph: 48.1 meV per atom
&SYSTEM
  ibrav = 0, nat = 5, ntyp = 4
/
ATOMIC_SPECIES
Cd 112.41 Cd.upf
Na 22.99 Na.upf
Ga 69.72 Ga.upf
K 39.10 K.upf
CELL_PARAMETERS angstrom
-4.7807 3.3989 0.6895
-2.1581 -1.9963 -5.1226
-2.4474 -3.9650 2.5762
ATOMIC_POSITIONS crystal
Cd 0.0000 0.0000 0.0000
Na 0.5000 0.0000 0.0000
Na 0.0000 0.5000 0.0000
Ga 0.0000 0.0000 0.5000
K 0.5000 0.5000 0.5000

(3)
! Zr2PaS6 | Alexandria via LeMat-Bulk | PBE | relaxed; values from VASP
! ΔE_f (raw): -1.476 eV per atom
! E above lowest polymorph: 0.0 meV per atom
&SYSTEM
  ibrav = 0, nat = 9, ntyp = 3
/
ATOMIC_SPECIES
S 32.06 S.upf
Zr 91.22 Zr.upf
Pa 231.04 Pa.upf
CELL_PARAMETERS angstrom
5.7124 0.0000 3.1920
1.9644 5.3640 3.1920
-0.4591 -0.3208 7.5289
ATOMIC_POSITIONS crystal
S 0.4088 0.7925 0.7332
Zr 0.8242 0.8242 0.5273
Zr 0.1758 0.1758 0.4727
S 0.7925 0.0655 0.7332
S 0.5912 0.2075 0.2668
Pa 0.0000 0.0000 0.0000
S 0.0655 0.4088 0.7332
S 0.9345 0.5912 0.2668
S 0.2075 0.9345 0.2668

(4)
! Ce2ZnRh6 | Alexandria via LeMat-Bulk | PBE | relaxed; values from VASP
! Energy of formation: -0.5071 eV per atom
&SYSTEM
  ibrav = 0, nat = 9, ntyp = 3
/
ATOMIC_SPECIES
Rh 102.91 Rh.upf
Ce 140.12 Ce.upf
Zn 65.41 Zn.upf
CELL_PARAMETERS angstrom
-4.7501 -1.6314 -3.1135
2.8884 -4.2217 -2.1923
0.0424 -4.9548 2.5339
ATOMIC_POSITIONS crystal
Rh 0.6791 0.1745 0.1745
Rh 0.6789 0.1745 0.6509
Rh 0.3211 0.3491 0.8255
Rh 0.3211 0.8255 0.3491
Rh 0.3209 0.8255 0.8255
Ce 0.8075 0.6666 0.6666
Ce 0.1925 0.3334 0.3334
Zn 0.0000 0.0000 0.0000
Rh 0.6789 0.6509 0.1745

(5)
! AlTeRuN2 | Alexandria via LeMat-Bulk | PBE | relaxed; values from VASP
! ΔE_f (raw): 0.758 eV per atom
! E above lowest polymorph: 0.0 meV per atom
&SYSTEM
  ibrav = 0, nat = 5, ntyp = 4
/
ATOMIC_SPECIES
Al 26.98 Al.upf
Te 127.60 Te.upf
Ru 101.07 Ru.upf
N 14.01 N.upf
CELL_PARAMETERS angstrom
3.8768 0.0000 0.0000
0.0000 3.8768 0.0000
0.0000 0.0000 5.6755
ATOMIC_POSITIONS crystal
Al 0.5000 0.5000 0.5000
Te 0.0000 0.0000 0.5000
Ru 0.0000 0.0000 0.0000
N 0.0000 0.5000 0.0000
N 0.5000 0.0000 0.0000

(6)
! Ac4NdAs5 | Alexandria via LeMat-Bulk | PBE | relaxed; values from VASP
! Energy of formation: -1.4741 eV per atom
&SYSTEM
  ibrav = 0, nat = 10, ntyp = 3
/
ATOMIC_SPECIES
As 74.92 As.upf
Ac 227.00 Ac.upf
Nd 144.24 Nd.upf
CELL_PARAMETERS angstrom
5.7365 0.0000 2.7669
2.8683 7.1112 1.3834
-0.2211 0.0000 7.7885
ATOMIC_POSITIONS crystal
As 0.2935 0.8047 0.6103
Ac 0.8001 0.7996 0.6023
Ac 0.2020 0.2004 0.3977
As 0.7085 0.1953 0.3897
As 0.5010 0.0000 0.0000
Nd 0.0012 0.0000 0.0000
As 0.9038 0.3897 0.8047
As 0.0982 0.6103 0.1953
Ac 0.4024 0.3977 0.7996
Ac 0.5997 0.6023 0.2004

(7)
! Ac6GaIr | Alexandria via LeMat-Bulk | PBE | relaxed; values from VASP
! Energy of formation: -0.1952 eV per atom
&SYSTEM
  ibrav = 0, nat = 8, ntyp = 3
/
ATOMIC_SPECIES
Ac 227.00 Ac.upf
Ga 69.72 Ga.upf
Ir 192.22 Ir.upf
CELL_PARAMETERS angstrom
-0.4165 2.1468 7.0415
-7.1209 -2.3703 2.4206
-1.2374 -6.4003 2.9377
ATOMIC_POSITIONS crystal
Ac 0.7626 0.1390 0.3387
Ac 0.2374 0.8610 0.6613
Ac 0.2374 0.5223 0.3387
Ga 0.0000 0.0000 0.0000
Ir 0.5000 0.5000 0.0000
Ac 0.7626 0.4777 0.6613
Ac 0.6973 0.7764 0.0000
Ac 0.3027 0.2236 0.0000

(8)
! NaNp3Tl2O12 | Alexandria via LeMat-Bulk | PBE | relaxed; values from VASP
! ΔE_f (raw): -2.206 eV per atom
&SYSTEM
  ibrav = 0, nat = 18, ntyp = 4
/
ATOMIC_SPECIES
Tl 204.38 Tl.upf
Np 237.00 Np.upf
O 16.00 O.upf
Na 22.99 Na.upf
CELL_PARAMETERS angstrom
-1.5009 2.8199 -6.6363
3.6425 -3.3003 -5.4850
-4.2528 -4.3542 -4.1472
ATOMIC_POSITIONS crystal
Tl 0.6169 0.6169 0.6169
Np 0.0000 0.0000 0.5000
O 0.5763 0.1236 0.1236
O 0.1236 0.1236 0.5763
Np 0.5000 0.0000 0.0000
O 0.2793 0.9033 0.2793
Tl 0.3831 0.3831 0.3831
O 0.8764 0.8764 0.4237
O 0.1236 0.5763 0.1236
O 0.2793 0.2793 0.9033
O 0.7207 0.7207 0.0967
O 0.0967 0.7207 0.7207
O 0.4237 0.8764 0.8764
O 0.7207 0.0967 0.7207
O 0.8764 0.4237 0.8764
Na 0.0000 0.0000 0.0000
O 0.9033 0.2793 0.2793
Np 0.0000 0.5000 0.0000

| no. | total energy (eV per atom) | size of the total moment (μB per cell) |
| --- | --- | --- |
| 1 | -2.21 | 0.00 |
| 2 | -1.47 | 0.00 |
| 3 | -7.18 | 0.79 |
| 4 | -6.87 | 0.00 |
| 5 | -5.80 | 0.36 |
| 6 | -5.92 | 0.00 |
| 7 | -4.76 | 0.00 |
| 8 | -8.00 | 0.00 |